{"formula": "LaNpCoO6", "functional": "PBE+U", "state": "relaxed", "cell": [[5.214, 0.000, 0.000], [-2.607, 4.515, 0.000], [0.000, 0.000, 10.701]], "species": ["La", "La", "Np", "Np", "Co", "Co", "O", "O", "O", "O", "O", "O", "O", "O", "O", "O", "O", "O"], "fractional_positions": [[0.000, 0.000, 0.000], [0.000, 0.000, 0.500], [0.333, 0.667, 0.250], [0.667, 0.333, 0.750], [0.333, 0.667, 0.750], [0.667, 0.333, 0.250], [0.019, 0.371, 0.645], [0.019, 0.648, 0.855], [0.352, 0.371, 0.855], [0.352, 0.981, 0.645], [0.371, 0.019, 0.145], [0.371, 0.352, 0.355], [0.629, 0.648, 0.645], [0.629, 0.981, 0.855], [0.648, 0.019, 0.355], [0.648, 0.629, 0.145], [0.981, 0.352, 0.145], [0.981, 0.629, 0.355]], "dft_energy_ev_per_cell": -150.25, "m_tot_mub_per_cell": 2.0}